Density functional theory data (PBE) for NdYHoTm after structural relaxation.

a = 5.6886 Å, b = 5.6886 Å, c = 5.6886 Å
α = 60.00°, β = 60.00°, γ = 60.00°
Last column: nearest neighbours and their distance in Å.
Element x y z (fractional)
Y 0.7500 0.7500 0.7500  4 Ho 3.48, 4 Tm 3.48
Tm 0.0000 0.0000 0.0000  4 Nd 3.48, 4 Y 3.48
Nd 0.2500 0.2500 0.2500  4 Ho 3.48, 4 Tm 3.48
Ho 0.5000 0.5000 0.5000  4 Nd 3.48, 4 Y 3.48

## Properties
Space group: No. 216
Calculated total energy (eV/cell): -19.80